No. 1
Material: CeNdSi2Pt2
Method: DFT, GGA-PBE
State: relaxed

Calculated values
E_tot (eV per atom): -6.714
Raw formation energy (eV per atom): -1.109

a = 4.2317 Å, b = 4.2317 Å, c = 8.1696 Å
α = 90.00°, β = 90.00°, γ = 120.00°
Space group P-3m1 (No. 164)
Symmetry-distinct sites (fractional):
Ce 0.0000 0.0000 0.0000 (multiplicity 1)
Nd 0.0000 0.0000 0.5000 (multiplicity 1)
Si 0.3333 0.6667 0.2424 (multiplicity 2)
Pt 0.3333 0.6667 0.7546 (multiplicity 2)

***

No. 2
Material: La6In2Sb
Method: DFT, GGA-PBE
State: relaxed

Calculated values
E_tot (eV per atom): -4.862
Raw formation energy (eV per atom): -0.510

a = 8.8966 Å, b = 8.8966 Å, c = 4.4115 Å
α = 90.00°, β = 90.00°, γ = 120.00°
Space group P-62m (No. 189)
Symmetry-distinct sites (fractional):
La 0.0000 0.3978 0.0000 (multiplicity 3)
La 0.0000 0.7264 0.5000 (multiplicity 3)
In 0.3333 0.6667 0.5000 (multiplicity 2)
Sb 0.0000 0.0000 0.0000 (multiplicity 1)

***

No. 3
Material: TbNd2Fe9
Method: DFT, GGA-PBE
State: relaxed

Calculated values
E_tot (eV per atom): -7.514
DFT formation energy (eV per atom): 0.01

a = 5.1556 Å, b = 5.1556 Å, c = 24.8012 Å
α = 90.00°, β = 90.00°, γ = 120.00°
Space group R-3m (No. 166, hexagonal axes)
Symmetry-distinct sites (fractional):
Tb 0.0000 0.0000 0.0000 (multiplicity 3)
Nd 0.0000 0.0000 0.1413 (multiplicity 6)
Fe 0.0000 0.0000 0.3328 (multiplicity 6)
Fe 0.0000 0.0000 0.5000 (multiplicity 3)
Fe 0.0036 0.5018 0.0793 (multiplicity 18)

***

No. 4
Material: PmY2Cd
Method: DFT, GGA-PBE
State: relaxed

Calculated values
E_tot (eV per atom): -4.747
DFT formation energy (eV per atom): -0.10
Energy relative to the lowest polymorph listed for this composition (eV per atom): 0.065

a = 4.909 Å, b = 4.909 Å, c = 4.883 Å
α = 90.00°, β = 90.00°, γ = 90.00°
Space group P4/mmm (No. 123)
Symmetry-distinct sites (fractional):
Pm 0.000 0.000 0.000 (multiplicity 1)
Y 0.000 0.500 0.500 (multiplicity 2)
Cd 0.500 0.500 0.000 (multiplicity 1)